1.
The following is a GGA-PBE calculation of a relaxed Mg5Si6 crystal, from Alexandria.

## Properties
Volume in Å³ per atom: 19.5
Energy relative to the lowest polymorph listed for this composition in kJ per mole of atoms: 4.9
Total DFT energy (no corrections) in eV/atom: -3.607
E_form (uncorrected) in kJ/mol of formula units: 80
Total magnetic moment in μB/f.u.: 0.00

Structure (CIF):
```
data_Mg5Si6
_chemical_formula_sum 'Mg10 Si12'
_cell_length_a 7.419
_cell_length_b 3.723
_cell_length_c 15.560
_cell_angle_alpha 90.00
_cell_angle_beta 93.00
_cell_angle_gamma 90.00
_symmetry_space_group_name_H-M 'P 1 m 1'
_symmetry_Int_Tables_number 6
loop_
_symmetry_equiv_pos_as_xyz
'x,y,z'
'x,-y,z'
loop_
_atom_site_label
_atom_site_fract_x
_atom_site_fract_y
_atom_site_fract_z
Mg1 0.000 0.000 0.000
Mg2 0.005 0.000 0.559
Mg3 0.055 0.000 0.239
Mg4 0.101 0.000 0.791
Mg5 0.317 0.500 0.142
Mg6 0.337 0.500 0.507
Mg7 0.454 0.500 0.809
Mg8 0.494 0.000 0.314
Mg9 0.653 0.000 0.120
Mg10 0.781 0.500 0.682
Si1 0.157 0.000 0.403
Si2 0.193 0.500 0.664
Si3 0.321 0.000 0.937
Si4 0.424 0.000 0.665
Si5 0.492 0.500 0.991
Si6 0.640 0.000 0.549
Si7 0.667 0.500 0.449
Si8 0.749 0.000 0.821
Si9 0.761 0.500 0.251
Si10 0.771 0.500 0.918
Si11 0.938 0.500 0.126
Si12 0.953 0.500 0.384
```

***

2.
The following is a GGA-PBE calculation of a relaxed MgZn3Au6 crystal, from Alexandria.

## Properties
Volume in Å³ per atom: 18.4
Energy relative to the lowest polymorph listed for this composition in kJ per mole of atoms: 6.5
Total DFT energy (no corrections) in eV/atom: -2.709
Total magnetic moment in μB/f.u.: 0.00

Structure (CIF):
```
data_MgZn3Au6
_chemical_formula_sum 'Mg4 Zn12 Au24'
_cell_length_a 9.416
_cell_length_b 13.231
_cell_length_c 5.895
_cell_angle_alpha 90.00
_cell_angle_beta 90.00
_cell_angle_gamma 90.00
_symmetry_space_group_name_H-M 'C m c 21'
_symmetry_Int_Tables_number 36
loop_
_symmetry_equiv_pos_as_xyz
'x,y,z'
'-x,-y,z+1/2'
'-x,y,z'
'x,-y,z+1/2'
'x+1/2,y+1/2,z'
'-x+1/2,-y+1/2,z+1/2'
'-x+1/2,y+1/2,z'
'x+1/2,-y+1/2,z+1/2'
loop_
_atom_site_label
_atom_site_fract_x
_atom_site_fract_y
_atom_site_fract_z
Mg1 0.000 0.180 0.000
Zn1 0.000 0.403 0.172
Zn2 0.200 0.088 0.441
Au1 0.000 0.009 0.703
Au2 0.000 0.233 0.545
Au3 0.154 0.433 0.568
Au4 0.224 0.272 0.233
```

***

3.
The following is a GGA-PBE calculation of a relaxed NaMgSO7 crystal, from Alexandria.

## Properties
Volume in Å³ per atom: 13.3
Total DFT energy (no corrections) in eV/atom: -5.464
E_form (uncorrected) in kJ/mol of formula units: -1243
Total magnetic moment in μB/f.u.: 3.08

Structure (CIF):
```
data_NaMgSO7
_chemical_formula_sum 'Na2 Mg2 S2 O14'
_cell_length_a 5.018
_cell_length_b 6.612
_cell_length_c 8.050
_cell_angle_alpha 90.00
_cell_angle_beta 96.32
_cell_angle_gamma 90.00
_symmetry_space_group_name_H-M 'P 1 21/m 1'
_symmetry_Int_Tables_number 11
loop_
_symmetry_equiv_pos_as_xyz
'x,y,z'
'-x,-y,-z'
'-x,y+1/2,-z'
'x,-y+1/2,z'
loop_
_atom_site_label
_atom_site_fract_x
_atom_site_fract_y
_atom_site_fract_z
Na1 0.143 0.250 0.175
Mg1 0.500 0.000 0.500
S1 0.030 0.250 0.705
O1 0.121 0.250 0.884
O2 0.131 0.565 0.343
O3 0.281 0.250 0.613
O4 0.344 0.657 0.959
O5 0.481 0.750 0.639
```

***

4.
The following is a GGA-PBE calculation of a relaxed Pr4TlHg7 crystal, from Alexandria.

## Properties
Volume in Å³ per atom: 29.9
Total DFT energy (no corrections) in eV/atom: -2.238
Total magnetic moment in μB/f.u.: 0.00

Structure (CIF):
```
data_Pr4TlHg7
_chemical_formula_sum 'Pr8 Tl2 Hg14'
_cell_length_a 13.237
_cell_length_b 5.605
_cell_length_c 11.400
_cell_angle_alpha 90.00
_cell_angle_beta 122.07
_cell_angle_gamma 90.00
_symmetry_space_group_name_H-M 'C 1 2/m 1'
_symmetry_Int_Tables_number 12
loop_
_symmetry_equiv_pos_as_xyz
'x,y,z'
'-x,-y,-z'
'-x,y,-z'
'x,-y,z'
'x+1/2,y+1/2,z'
'-x+1/2,-y+1/2,-z'
'-x+1/2,y+1/2,-z'
'x+1/2,-y+1/2,z'
loop_
_atom_site_label
_atom_site_fract_x
_atom_site_fract_y
_atom_site_fract_z
Pr1 0.084 0.000 0.278
Pr2 0.247 0.000 0.831
Tl1 0.000 0.500 0.500
Hg1 0.000 0.000 0.500
Hg2 0.074 0.500 0.840
Hg3 0.134 0.000 0.032
Hg4 0.202 0.500 0.414
```

***

5.
The following is a GGA-PBE calculation of a relaxed SrAcHg14 crystal, from Alexandria.

## Properties
Volume in Å³ per atom: 27.3
Total DFT energy (no corrections) in eV/atom: -0.844
Total magnetic moment in μB/f.u.: 0.00

Structure (CIF):
```
data_SrAcHg14
_chemical_formula_sum 'Sr1 Ac1 Hg14'
_cell_length_a 6.931
_cell_length_b 6.931
_cell_length_c 9.099
_cell_angle_alpha 90.00
_cell_angle_beta 90.00
_cell_angle_gamma 90.00
_symmetry_space_group_name_H-M 'P 4/m m m'
_symmetry_Int_Tables_number 123
_symmetry_space_group_name_Hall '-P 4 2'
loop_
_atom_site_label
_atom_site_fract_x
_atom_site_fract_y
_atom_site_fract_z
Sr1 0.000 0.000 0.000
Ac1 0.500 0.500 0.000
Hg1 0.000 0.000 0.500
Hg2 0.000 0.500 0.000
Hg3 0.000 0.500 0.500
Hg4 0.248 0.248 0.264
Hg5 0.500 0.500 0.500
```

***

6.
The following is a GGA-PBE calculation of a relaxed ZnInGaGe crystal, from Alexandria.

## Properties
Volume in Å³ per atom: 20.6
Total DFT energy (no corrections) in eV/atom: -2.749
Total magnetic moment in μB/f.u.: 0.00

Structure (CIF):
```
data_ZnInGaGe
_chemical_formula_sum 'Zn4 In4 Ga4 Ge4'
_cell_length_a 6.911
_cell_length_b 6.911
_cell_length_c 6.911
_cell_angle_alpha 90.00
_cell_angle_beta 90.00
_cell_angle_gamma 90.00
_symmetry_space_group_name_H-M 'F -4 3 m'
_symmetry_Int_Tables_number 216
_symmetry_space_group_name_Hall 'F -4 2 3'
loop_
_atom_site_label
_atom_site_fract_x
_atom_site_fract_y
_atom_site_fract_z
Zn1 0.000 0.000 0.000
In1 0.250 0.250 0.750
Ga1 0.000 0.000 0.500
Ge1 0.250 0.250 0.250
```

***

7.
The following is a GGA-PBE calculation of a relaxed Tb4SmTe2 crystal, from Alexandria.

## Properties
Volume in Å³ per atom: 33.0
Total DFT energy (no corrections) in eV/atom: -4.730
E_form (uncorrected) in kJ/mol of formula units: -346
Total magnetic moment in μB/f.u.: 0.00

Structure (CIF):
```
data_Tb4SmTe2
_chemical_formula_sum 'Tb12 Sm3 Te6'
_cell_length_a 5.4593
_cell_length_b 5.4593
_cell_length_c 26.8138
_cell_angle_alpha 90.00
_cell_angle_beta 90.00
_cell_angle_gamma 120.00
_symmetry_space_group_name_H-M 'R -3 m'
_symmetry_Int_Tables_number 166
_symmetry_space_group_name_Hall '-R 3 2"'
loop_
_atom_site_label
_atom_site_fract_x
_atom_site_fract_y
_atom_site_fract_z
Tb1 0.0000 0.0000 0.1337
Tb2 0.0000 0.0000 0.2666
Sm1 0.0000 0.0000 0.5000
Te1 0.0000 0.0000 0.3832
```

***

8.
The following is a GGA-PBE calculation of a relaxed LaMn3Co crystal, from Alexandria.

## Properties
Volume in Å³ per atom: 20.7
Energy relative to the lowest polymorph listed for this composition in kJ per mole of atoms: 99.6
Total DFT energy (no corrections) in eV/atom: -5.969
Total magnetic moment in μB/f.u.: 10.73

Structure (CIF):
```
data_LaMn3Co
_chemical_formula_sum 'La1 Mn3 Co1'
_cell_length_a 4.692
_cell_length_b 4.692
_cell_length_c 4.692
_cell_angle_alpha 90.00
_cell_angle_beta 90.00
_cell_angle_gamma 90.00
_symmetry_space_group_name_H-M 'P m -3 m'
_symmetry_Int_Tables_number 221
_symmetry_space_group_name_Hall '-P 4 2 3'
loop_
_atom_site_label
_atom_site_fract_x
_atom_site_fract_y
_atom_site_fract_z
La1 0.000 0.000 0.000
Mn1 0.000 0.000 0.500
Co1 0.500 0.500 0.500
```

***

9.
The following is a GGA-PBE calculation of a relaxed Li2La3Mg7 crystal, from Alexandria.

## Properties
Volume in Å³ per atom: 26.6
Total DFT energy (no corrections) in eV/atom: -2.552
Total magnetic moment in μB/f.u.: 0.00

Structure (CIF):
```
data_Li2La3Mg7
_chemical_formula_sum 'Li6 La9 Mg21'
_cell_length_a 6.1462
_cell_length_b 6.1462
_cell_length_c 29.3077
_cell_angle_alpha 90.00
_cell_angle_beta 90.00
_cell_angle_gamma 120.00
_symmetry_space_group_name_H-M 'R -3 m'
_symmetry_Int_Tables_number 166
_symmetry_space_group_name_Hall '-R 3 2"'
loop_
_atom_site_label
_atom_site_fract_x
_atom_site_fract_y
_atom_site_fract_z
Li1 0.0000 0.0000 0.1663
La1 0.0000 0.0000 0.3576
La2 0.0000 0.0000 0.5000
Mg1 0.0000 0.0000 0.0000
Mg2 0.0022 0.5011 0.4203
```

***

10.
The following is a GGA-PBE calculation of a relaxed Tl3In6Bi crystal, from Alexandria.

## Properties
Volume in Å³ per atom: 30.4
Total DFT energy (no corrections) in eV/atom: -2.691
Total magnetic moment in μB/f.u.: 0.00

Structure (CIF):
```
data_Tl3In6Bi
_chemical_formula_sum 'Tl6 In12 Bi2'
_cell_length_a 11.153
_cell_length_b 4.340
_cell_length_c 13.511
_cell_angle_alpha 90.00
_cell_angle_beta 111.65
_cell_angle_gamma 90.00
_symmetry_space_group_name_H-M 'P 1 21/m 1'
_symmetry_Int_Tables_number 11
loop_
_symmetry_equiv_pos_as_xyz
'x,y,z'
'-x,-y,-z'
'-x,y+1/2,-z'
'x,-y+1/2,z'
loop_
_atom_site_label
_atom_site_fract_x
_atom_site_fract_y
_atom_site_fract_z
Tl1 0.010 0.250 0.209
Tl2 0.279 0.750 0.303
Tl3 0.333 0.250 0.112
In1 0.026 0.750 0.405
In2 0.108 0.750 0.045
In3 0.258 0.250 0.495
In4 0.360 0.750 0.934
In5 0.439 0.250 0.780
In6 0.485 0.750 0.595
Bi1 0.208 0.750 0.668
```

***

11.
The following is a GGA-PBE calculation of a relaxed NpCuPdRu crystal, from Alexandria.

## Properties
Volume in Å³ per atom: 16.7
Total DFT energy (no corrections) in eV/atom: -7.906
Total magnetic moment in μB/f.u.: 3.01

Structure (CIF):
```
data_NpCuPdRu
_chemical_formula_sum 'Np4 Cu4 Pd4 Ru4'
_cell_length_a 6.441
_cell_length_b 6.441
_cell_length_c 6.441
_cell_angle_alpha 90.00
_cell_angle_beta 90.00
_cell_angle_gamma 90.00
_symmetry_space_group_name_H-M 'F -4 3 m'
_symmetry_Int_Tables_number 216
_symmetry_space_group_name_Hall 'F -4 2 3'
loop_
_atom_site_label
_atom_site_fract_x
_atom_site_fract_y
_atom_site_fract_z
Np1 0.000 0.000 0.000
Cu1 0.000 0.000 0.500
Pd1 0.250 0.250 0.250
Ru1 0.250 0.250 0.750
```

***

12.
The following is a GGA-PBE calculation of a relaxed Er4TmTl5 crystal, from Alexandria.

## Properties
Volume in Å³ per atom: 26.7
Total DFT energy (no corrections) in eV/atom: -3.763
Total magnetic moment in μB/f.u.: 0.00

Structure (CIF):
```
data_Er4TmTl5
_chemical_formula_sum 'Er4 Tm1 Tl5'
_cell_length_a 3.720
_cell_length_b 3.720
_cell_length_c 19.306
_cell_angle_alpha 90.00
_cell_angle_beta 90.00
_cell_angle_gamma 90.00
_symmetry_space_group_name_H-M 'P 4/m m m'
_symmetry_Int_Tables_number 123
_symmetry_space_group_name_Hall '-P 4 2'
loop_
_atom_site_label
_atom_site_fract_x
_atom_site_fract_y
_atom_site_fract_z
Er1 0.000 0.000 0.100
Er2 0.000 0.000 0.301
Tm1 0.000 0.000 0.500
Tl1 0.500 0.500 0.000
Tl2 0.500 0.500 0.201
Tl3 0.500 0.500 0.401
```